DFT (PBE) results for crystalline HfAuN at its relaxed geometry.

Lattice parameters (Å, degrees): 3.9862 6.4845 3.7989 90.00 90.00 90.00
Fractional positions:
N: 0.5000 0.4867 0.0000
N: 0.0000 0.5133 0.5000
Au: 0.5000 0.9993 0.0000
Au: 0.0000 0.0007 0.5000
Hf: 0.0000 0.3659 0.0000
Hf: 0.5000 0.6341 0.5000

Summary:
* space-group type: No. 59
* E_form (uncorrected): -1.122 eV/atom
* spin magnetization: 0.00 Bohr magnetons per cell
* crystal system: orthorhombic